[1]
## Ba3Ti2Se7 (PBE-GGA)

Data for crystalline Ba3Ti2Se7 at its relaxed geometry.

Output
raw formation energy = -34.527 kcal/mol of atoms
total moment = 0.00 μB per cell
V = 335.7 Å³ per cell
ρ = 5.246 g/cm3

Cell lengths 13.5495, 13.5495, 4.9289 Å; angles 90.00, 90.00, 158.23 degrees
Closest atoms and distances in Å follow each position.
Sites, in units of the cell vectors:
Ba 0.0000 0.0000 0.0000  12 Se 3.52-3.65
Ba 0.1799 0.8201 0.0000  8 Se 3.35-3.59
Ba 0.8201 0.1799 0.0000  8 Se 3.35-3.59
Ti 0.3973 0.6027 0.5000  6 Se 2.47-2.73
Ti 0.6027 0.3973 0.5000  6 Se 2.47-2.73
Se 0.0946 0.9054 0.5000  2 Ti 2.57
Se 0.3016 0.6984 0.5000  1 Ti 2.55
Se 0.4021 0.5979 0.0000  2 Ti 2.47
Se 0.5000 0.5000 0.5000  2 Ti 2.73
Se 0.5979 0.4021 0.0000  2 Ti 2.47
Se 0.6984 0.3016 0.5000  1 Ti 2.55
Se 0.9054 0.0946 0.5000  2 Ti 2.57

***

[2]
## LuTlNiPt (PBE-GGA)

Data for crystalline LuTlNiPt at its relaxed geometry.

Output
total moment = 0.00 μB per cell
V = 73.7 Å³ per cell
ρ = 14.272 g/cm3
DFT formation energy = -0.476 eV/atom

Cell lengths 4.7053, 4.7053, 4.7053 Å; angles 60.00, 60.00, 60.00 degrees
Closest atoms and distances in Å follow each position.
Sites, in units of the cell vectors:
Lu 0.0000 0.0000 0.0000  4 Ni 2.88, 4 Pt 2.88
Tl 0.5000 0.5000 0.5000  4 Ni 2.88, 4 Pt 2.88
Ni 0.7500 0.7500 0.7500  4 Tl 2.88, 4 Lu 2.88
Pt 0.2500 0.2500 0.2500  4 Tl 2.88, 4 Lu 2.88

***

[3]
## TaAlIn2 (PBE-GGA)

Data for crystalline TaAlIn2 at its relaxed geometry.

Output
total moment = 0.00 μB per cell
V = 80.0 Å³ per cell
ρ = 9.082 g/cm3
DFT formation energy = 0.226 eV/atom

Cell lengths 3.2118, 4.2286, 5.8907 Å; angles 90.00, 90.00, 90.00 degrees
Closest atoms and distances in Å follow each position.
Sites, in units of the cell vectors:
Ta 0.0000 0.0000 0.0000  2 Al 2.95, 8 In 3.04, 2 Ta 3.21
Al 0.0000 0.0000 0.5000  2 Ta 2.95, 8 In 3.04, 2 Al 3.21
In 0.5000 0.5000 0.2500  4 In 2.94-3.21, 4 Ta 3.04, 4 Al 3.04
In 0.5000 0.5000 0.7500  4 In 2.94-3.21, 4 Ta 3.04, 4 Al 3.04

***

[4]
## K2Li2MgBr6 (PBE-GGA)

Data for crystalline K2Li2MgBr6 at its relaxed geometry.

Output
raw formation energy = -35.489 kcal/mol of atoms
total moment = 0.00 μB per cell
V = 355.7 Å³ per cell
ρ = 2.781 g/cm3

Cell lengths 7.5309, 7.5309, 7.9633 Å; angles 112.83, 112.83, 62.04 degrees
Closest atoms and distances in Å follow each position.
Sites, in units of the cell vectors:
K 0.2089 0.2089 0.1573  5 Br 3.24-3.49
K 0.7911 0.7911 0.8427  5 Br 3.24-3.49
Li 0.4340 0.4340 0.7114  3 Br 2.41-2.44
Li 0.5660 0.5660 0.2886  3 Br 2.41-2.44
Mg 0.0000 0.0000 0.5000  6 Br 2.68-2.74
Br 0.1872 0.7037 0.2221  1 Li 2.44
Br 0.2248 0.2248 0.5757  1 Li 2.41, 1 Mg 2.68
Br 0.2963 0.8128 0.7779  1 Li 2.44
Br 0.7037 0.1872 0.2221  1 Li 2.44
Br 0.7752 0.7752 0.4243  1 Li 2.41, 1 Mg 2.68
Br 0.8128 0.2963 0.7779  1 Li 2.44